Computed, not measured: a geometry-optimized TaI3F structure at the PBE level of DFT.

Space group   No. 221
Spin magnetization   0.0000 μB per atom
Electronic total energy   -2.58 eV per atom
V   26.7 Å³ per atom
Polymorph energy (0 for the lowest one)   118.9 kJ/mol of atoms
Formation energy (no corrections)   1097.0 meV/atom

Cell lengths 5.1085, 5.1085, 5.1085 Å; angles 90.00, 90.00, 90.00 degrees
Closest atoms and distances in Å follow each position.
Fractional coordinates of all 5 atoms:
I 0.5000 0.0000 0.0000  2 F 2.55
I 0.0000 0.0000 0.5000  2 F 2.55
F 0.0000 0.0000 0.0000  6 I 2.55
I 0.0000 0.5000 0.0000  2 F 2.55
Ta 0.5000 0.5000 0.5000  12 I 3.61